Computed, not measured: crystalline K2Bi2Br7 at its relaxed geometry at the GGA-PBE level of DFT.

Output
**Total energy**: -2.947 eV/atom
**Density of states at the Fermi level**: 3.61 states/eV/f.u.
**Energy above the most stable polymorph in this dataset**: 0 meV/atom

```
data_K2Bi2Br7
_space_group_name_H-M_alt 'C 1 2/m 1'
_space_group_IT_number 12
_space_group_name_Hall '-C 2y'
_cell_length_a 10.2539
_cell_length_b 13.6109
_cell_length_c 7.6744
_cell_angle_alpha 90.00
_cell_angle_beta 94.56
_cell_angle_gamma 90.00
loop_
_atom_site_label
_atom_site_type_symbol
_atom_site_fract_x
_atom_site_fract_y
_atom_site_fract_z
K1 K 0.0000 0.2007 0.0000
Bi1 Bi 0.2286 0.0000 0.5940
Br1 Br 0.0000 0.5000 0.5000
Br2 Br 0.0796 0.0000 0.2652
Br3 Br 0.2372 0.3224 0.2264
```